Entry 1:
Compound: CdIn2Pb
Source: Alexandria via LeMat-Bulk
Functional: PBE
Structure: optimized geometry

Calculated values
* electronic total energy: -0.1841 Ry per atom

Geometry as CIF:
```
data_CdIn2Pb
_symmetry_space_group_name_H-M 'P 1'
_symmetry_Int_Tables_number 1
_cell_length_a 3.450
_cell_length_b 3.450
_cell_length_c 9.151
_cell_angle_alpha 90.00
_cell_angle_beta 90.00
_cell_angle_gamma 90.00
loop_
_symmetry_equiv_pos_as_xyz
'x,y,z'
loop_
_atom_site_label
_atom_site_fract_x
_atom_site_fract_y
_atom_site_fract_z
_atom_site_occupancy
Cd1 0.000 0.000 0.000 1
In1 0.500 0.500 0.233 1
In2 0.500 0.500 0.767 1
Pb1 0.000 0.000 0.500 1
```

Entry 2:
Compound: CdInPb2
Source: Alexandria via LeMat-Bulk
Functional: PBE
Structure: optimized geometry

Calculated values
* offset from the most stable computed form: 1.78 kJ/mol of atoms
* electronic total energy: -0.1999 Ry per atom

Geometry as CIF:
```
data_CdInPb2
_symmetry_space_group_name_H-M 'P 1'
_symmetry_Int_Tables_number 1
_cell_length_a 3.662
_cell_length_b 5.629
_cell_length_c 11.089
_cell_angle_alpha 90.00
_cell_angle_beta 90.00
_cell_angle_gamma 90.00
loop_
_symmetry_equiv_pos_as_xyz
'x,y,z'
loop_
_atom_site_label
_atom_site_fract_x
_atom_site_fract_y
_atom_site_fract_z
_atom_site_occupancy
Cd1 0.000 0.000 0.000 1
Cd2 0.500 0.500 0.500 1
In1 0.000 0.500 0.728 1
In2 0.500 0.000 0.228 1
Pb1 0.000 0.000 0.485 1
Pb2 0.000 0.500 0.255 1
Pb3 0.500 0.000 0.755 1
Pb4 0.500 0.500 0.985 1
```